Entry from the Alexandria database: a relaxed structure of Sc4SbMo (GGA-PBE).

a b c (Å): 5.664 5.664 5.664
angles (deg): 60.00 60.00 60.00
Atoms (fractional coordinates):
Sc 0.123 0.123 0.123
Sc 0.123 0.123 0.632
Sc 0.123 0.632 0.123
Sc 0.632 0.123 0.123
Sb 0.500 0.500 0.500
Mo 0.750 0.750 0.750

Properties
- SG: No. 216
- Uncorrected formation energy: 341 meV/atom
- DOS(E_F): 1.330 states/eV per atom
- E: -6.372 eV per atom
- ρ: 5.14 g cm⁻³